1.
Entry from the Alexandria database: a relaxed BaU3P4N12 crystal (GGA-PBE).

Cell and atoms, written as CIF:
```
data_BaU3P4N12
_chemical_formula_sum 'Ba1 U3 P4 N12'
_cell_length_a 6.986
_cell_length_b 6.986
_cell_length_c 6.986
_cell_angle_alpha 103.00
_cell_angle_beta 103.00
_cell_angle_gamma 103.00
_symmetry_space_group_name_H-M 'P 1'
_symmetry_Int_Tables_number 1
_symmetry_space_group_name_Hall 'P 1'
loop_
_atom_site_label
_atom_site_type_symbol
_atom_site_fract_x
_atom_site_fract_y
_atom_site_fract_z
Ba1 Ba 0.000 0.000 0.000
U1 U 0.000 0.551 0.449
U2 U 0.449 0.000 0.551
U3 U 0.551 0.449 0.000
P1 P 0.054 0.500 0.946
P2 P 0.500 0.500 0.500
P3 P 0.500 0.946 0.054
P4 P 0.946 0.054 0.500
N1 N 0.025 0.616 0.777
N2 N 0.092 0.908 0.500
N3 N 0.223 0.384 0.975
N4 N 0.355 0.645 0.500
N5 N 0.384 0.975 0.223
N6 N 0.500 0.092 0.908
N7 N 0.500 0.355 0.645
N8 N 0.616 0.777 0.025
N9 N 0.645 0.500 0.355
N10 N 0.777 0.025 0.616
N11 N 0.908 0.500 0.092
N12 N 0.975 0.223 0.384
```

Properties
formation energy from raw total energies = -0.71 eV/atom
size of the total moment = 4.01 μB/f.u.
electronic total energy = -171.518 eV for the cell shown

2.
Entry from the Alexandria database: a relaxed Ba2VP2N6 crystal (GGA-PBE).

Cell and atoms, written as CIF:
```
data_Ba2VP2N6
_chemical_formula_sum 'Ba2 V1 P2 N6'
_cell_length_a 6.574
_cell_length_b 6.574
_cell_length_c 6.574
_cell_angle_alpha 50.65
_cell_angle_beta 50.65
_cell_angle_gamma 50.65
_symmetry_space_group_name_H-M 'P 1'
_symmetry_Int_Tables_number 1
_symmetry_space_group_name_Hall 'P 1'
loop_
_atom_site_label
_atom_site_type_symbol
_atom_site_fract_x
_atom_site_fract_y
_atom_site_fract_z
Ba1 Ba 0.216 0.216 0.216
Ba2 Ba 0.784 0.784 0.784
V1 V 0.000 0.000 0.000
P1 P 0.403 0.403 0.403
P2 P 0.597 0.597 0.597
N1 N 0.242 0.242 0.731
N2 N 0.242 0.731 0.242
N3 N 0.269 0.758 0.758
N4 N 0.731 0.242 0.242
N5 N 0.758 0.269 0.758
N6 N 0.758 0.758 0.269
```

Properties
formation energy from raw total energies = -0.64 eV/atom
size of the total moment = 1.00 μB/f.u.
electronic total energy = -80.738 eV for the cell shown